A:
A relaxed structure of BeAl2Fe2, computed with PBE-GGA.

Calculated values
density = 4.728 g/cm³
magnetic moment = 0.427 μB/atom

The structure in CIF format:
```
data_BeAl2Fe2
_chemical_formula_sum 'Be2 Al4 Fe4'
_symmetry_space_group_name_H-M 'P 4/m b m'
_symmetry_Int_Tables_number 127
_symmetry_space_group_name_Hall '-P 4 2ab'
_cell_length_a 6.459
_cell_length_b 6.459
_cell_length_c 2.941
_cell_angle_alpha 90.00
_cell_angle_beta 90.00
_cell_angle_gamma 90.00
loop_
_atom_site_label
_atom_site_type_symbol
_atom_site_fract_x
_atom_site_fract_y
_atom_site_fract_z
_atom_site_occupancy
Be1 Be 0.000 0.000 0.000 1
Al1 Al 0.138 0.362 0.000 1
Fe1 Fe 0.163 0.663 0.500 1
```



B:
A relaxed structure of BeAl2Fe2, computed with PBE-GGA.

Calculated values
density = 4.861 g/cm³
magnetic moment = 0.280 μB/atom

The structure in CIF format:
```
data_BeAl2Fe2
_chemical_formula_sum 'Be2 Al4 Fe4'
_symmetry_space_group_name_H-M 'P 4/m b m'
_symmetry_Int_Tables_number 127
_symmetry_space_group_name_Hall '-P 4 2ab'
_cell_length_a 5.606
_cell_length_b 5.606
_cell_length_c 3.797
_cell_angle_alpha 90.00
_cell_angle_beta 90.00
_cell_angle_gamma 90.00
loop_
_atom_site_label
_atom_site_type_symbol
_atom_site_fract_x
_atom_site_fract_y
_atom_site_fract_z
_atom_site_occupancy
Be1 Be 0.000 0.000 0.000 1
Al1 Al 0.167 0.333 0.500 1
Fe1 Fe 0.143 0.643 0.000 1
```



Name the most stable of them. B.